--- a ---
Material: LiCrP4O12
Method: DFT, PBE with a Hubbard U
State: relaxed

## Properties
**V**: 861 Å³ per cell
**Space-group type**: P2_1/c, No. 14
**Calculated density**: 2.9 g cm⁻³

```
LiCrP4O12
1.0
-6.649 4.395 -10.193
0.565 -6.682 -3.250
-7.078 -9.037 0.720
O P Cr Li
48 16 4 4
Direct
0.781 0.489 0.398
0.638 0.608 0.656
0.505 0.003 0.813
0.025 0.492 0.629
0.697 0.151 0.758
0.390 0.764 0.667
0.005 0.997 0.687
0.662 0.607 0.069
0.162 0.393 0.431
0.147 0.205 0.138
0.838 0.607 0.569
0.495 0.997 0.187
0.890 0.236 0.833
0.667 0.009 0.078
0.719 0.489 0.898
0.197 0.849 0.742
0.803 0.151 0.258
0.938 0.637 0.745
0.281 0.511 0.102
0.862 0.608 0.156
0.338 0.393 0.931
0.853 0.795 0.862
0.438 0.363 0.755
0.918 0.316 0.049
0.138 0.392 0.844
0.167 0.991 0.422
0.219 0.511 0.602
0.647 0.795 0.362
0.475 0.492 0.129
0.062 0.363 0.255
0.374 0.118 0.292
0.418 0.684 0.451
0.082 0.684 0.951
0.582 0.316 0.549
0.333 0.991 0.922
0.833 0.009 0.578
0.975 0.508 0.371
0.110 0.764 0.167
0.525 0.508 0.871
0.995 0.003 0.313
0.303 0.849 0.242
0.126 0.118 0.792
0.874 0.882 0.208
0.562 0.637 0.245
0.353 0.205 0.638
0.362 0.392 0.344
0.626 0.882 0.708
0.610 0.236 0.333
0.396 0.137 0.784
0.087 0.523 0.300
0.413 0.523 0.800
0.104 0.137 0.284
0.897 0.093 0.206
0.103 0.907 0.794
0.132 0.390 0.715
0.868 0.610 0.285
0.896 0.863 0.716
0.913 0.477 0.700
0.603 0.093 0.706
0.397 0.907 0.294
0.632 0.610 0.785
0.604 0.863 0.216
0.587 0.477 0.200
0.368 0.390 0.215
0.299 0.499 0.454
0.201 0.499 0.954
0.701 0.501 0.546
0.799 0.501 0.046
0.729 0.048 0.439
0.771 0.048 0.939
0.229 0.952 0.061
0.271 0.952 0.561
```

***

--- b ---
Material: LiCrP4O12
Method: DFT, PBE with a Hubbard U
State: relaxed

## Properties
**V**: 903 Å³ per cell
**Space-group type**: P2_12_12_1, No. 19
**Calculated density**: 2.8 g cm⁻³

```
LiCrP4O12
1.0
-2.367 0.177 -10.244
-4.591 -7.773 0.926
-7.876 4.877 1.904
P O Cr Li
16 48 4 4
Direct
0.387 0.246 0.955
0.981 0.250 0.014
0.388 0.554 0.539
0.888 0.446 0.461
0.606 0.453 0.971
0.612 0.054 0.961
0.019 0.750 0.486
0.519 0.250 0.514
0.112 0.946 0.039
0.612 0.746 0.545
0.481 0.750 0.986
0.887 0.754 0.045
0.106 0.547 0.029
0.394 0.953 0.529
0.112 0.254 0.455
0.894 0.047 0.471
0.509 0.628 0.610
0.372 0.216 0.107
0.424 0.384 0.541
0.140 0.577 0.874
0.218 0.246 0.352
0.587 0.626 0.954
0.967 0.600 0.067
0.862 0.397 0.610
0.576 0.884 0.959
0.872 0.784 0.893
0.087 0.374 0.046
0.058 0.755 0.639
0.913 0.874 0.454
0.628 0.716 0.393
0.033 0.100 0.434
0.202 0.600 0.135
0.220 0.928 0.144
0.798 0.100 0.365
0.009 0.372 0.390
0.638 0.103 0.110
0.533 0.900 0.566
0.924 0.616 0.459
0.782 0.746 0.148
0.128 0.284 0.607
0.298 0.900 0.635
0.280 0.572 0.645
0.491 0.127 0.890
0.138 0.897 0.890
0.413 0.126 0.546
0.640 0.423 0.126
0.991 0.873 0.110
0.120 0.754 0.376
0.558 0.245 0.361
0.362 0.603 0.390
0.076 0.116 0.041
0.467 0.400 0.933
0.860 0.076 0.626
0.702 0.400 0.865
0.942 0.255 0.861
0.780 0.428 0.355
0.879 0.254 0.124
0.442 0.745 0.139
0.718 0.754 0.648
0.720 0.072 0.856
0.282 0.254 0.852
0.620 0.246 0.624
0.379 0.746 0.876
0.360 0.924 0.374
0.783 0.247 0.739
0.283 0.753 0.261
0.717 0.253 0.239
0.217 0.747 0.761
0.194 0.398 0.749
0.306 0.102 0.249
0.694 0.602 0.251
0.806 0.898 0.751
```

***

--- c ---
Material: LiCrP4O12
Method: DFT, PBE with a Hubbard U
State: relaxed

## Properties
**V**: 933 Å³ per cell
**Space-group type**: P2_1/c, No. 14
**Calculated density**: 2.7 g cm⁻³

```
LiCrP4O12
1.0
-5.436 -6.901 1.468
3.307 -3.810 -5.664
11.391 -7.902 5.032
O Cr P Li
48 4 16 4
Direct
0.668 0.117 0.749
0.330 0.182 0.107
0.574 0.697 0.362
0.670 0.818 0.893
0.128 0.745 0.128
0.431 0.493 0.275
0.681 0.614 0.534
0.074 0.303 0.138
0.078 0.981 0.340
0.422 0.981 0.840
0.056 0.170 0.769
0.426 0.303 0.638
0.196 0.514 0.589
0.922 0.019 0.660
0.804 0.486 0.411
0.372 0.745 0.628
0.696 0.486 0.911
0.304 0.514 0.089
0.628 0.255 0.372
0.578 0.019 0.160
0.666 0.236 0.544
0.181 0.386 0.966
0.926 0.697 0.862
0.120 0.855 0.548
0.569 0.507 0.725
0.931 0.507 0.225
0.854 0.412 0.684
0.830 0.818 0.393
0.556 0.830 0.731
0.319 0.386 0.466
0.819 0.614 0.034
0.380 0.855 0.048
0.872 0.255 0.872
0.168 0.883 0.751
0.069 0.493 0.775
0.646 0.412 0.184
0.170 0.182 0.607
0.166 0.764 0.956
0.334 0.764 0.456
0.444 0.170 0.269
0.944 0.830 0.231
0.332 0.883 0.251
0.880 0.145 0.452
0.354 0.588 0.816
0.834 0.236 0.044
0.832 0.117 0.249
0.146 0.588 0.316
0.620 0.145 0.952
0.145 0.637 0.856
0.355 0.637 0.356
0.645 0.363 0.644
0.855 0.363 0.144
0.209 0.345 0.073
0.749 0.269 0.450
0.069 0.048 0.699
0.542 0.347 0.270
0.251 0.731 0.550
0.042 0.653 0.230
0.431 0.048 0.199
0.931 0.952 0.301
0.458 0.653 0.730
0.751 0.269 0.950
0.958 0.347 0.770
0.709 0.655 0.427
0.791 0.655 0.927
0.249 0.731 0.050
0.291 0.345 0.573
0.569 0.952 0.801
0.406 0.101 0.932
0.094 0.101 0.432
0.906 0.899 0.568
0.594 0.899 0.068
```

***

--- d ---
Material: LiCrP4O12
Method: DFT, PBE with a Hubbard U
State: relaxed

## Properties
**V**: 439 Å³ per cell
**Space-group type**: C2/c, No. 15
**Calculated density**: 2.8 g cm⁻³

```
LiCrP4O12
1.0
-3.444 -0.270 6.433
-6.873 -2.288 -0.914
-1.303 -9.284 3.159
O Li P Cr
24 2 8 2
Direct
0.810 0.658 0.649
0.318 0.808 0.071
0.808 0.318 0.571
0.190 0.342 0.351
0.682 0.192 0.929
0.145 0.907 0.596
0.699 0.869 0.834
0.786 0.488 0.930
0.855 0.093 0.404
0.512 0.214 0.570
0.093 0.855 0.904
0.869 0.699 0.334
0.131 0.301 0.666
0.342 0.190 0.851
0.192 0.682 0.429
0.329 0.533 0.659
0.488 0.786 0.430
0.671 0.467 0.341
0.467 0.671 0.841
0.658 0.810 0.149
0.214 0.512 0.070
0.907 0.145 0.096
0.533 0.329 0.159
0.301 0.131 0.166
0.962 0.038 0.750
0.038 0.962 0.250
0.303 0.321 0.195
0.740 0.267 0.028
0.267 0.740 0.528
0.260 0.733 0.972
0.697 0.679 0.805
0.733 0.260 0.472
0.679 0.697 0.305
0.321 0.303 0.695
0.500 0.000 0.000
0.000 0.500 0.500
```

***

Which of them is the most stable? Correct choice: d.